Crystalline ScPBr2 at its relaxed geometry, computed with PBE.

a b c (Å): 4.574 4.403 5.139
angles (deg): 90.00 106.17 90.00
Space group P2/m (No. 10)
Inequivalent atoms, fractional coordinates:
Sc1 0.000 0.000 0.000 [1 per cell]
P1 0.500 0.500 0.000 [1 per cell]
Br1 0.000 0.000 0.500 [1 per cell]
Br2 0.500 0.500 0.500 [1 per cell]

Total magnetization = 0.01 μB per cell
Density = 3939 kg/m³
Fermi-level density of states = 1.41 states/eV/cell
E_form (uncorrected) = -0.364 eV per atom

Crystalline YTa2Ni2 at its relaxed geometry, computed with PBE.

a b c (Å): 7.413 7.413 3.112
angles (deg): 90.00 90.00 90.00
Space group P4/mbm (No. 127)
Inequivalent atoms, fractional coordinates:
Y1 0.000 0.000 0.000 [2 per cell]
Ta1 0.164 0.336 0.500 [4 per cell]
Ni1 0.121 0.621 0.000 [4 per cell]

Formation enthalpy at 0 K = 31 meV per atom
Total magnetization = 0.00 μB per cell
Density = 11033 kg/m³
Fermi-level density of states = 13.51 states/eV/cell

Crystalline RbZnCl3 at its relaxed geometry, computed with PBE.

a b c (Å): 6.012 7.303 8.530
angles (deg): 65.16 89.96 89.99
Space group P1 (No. 1)
Inequivalent atoms, fractional coordinates:
Rb1 0.000 0.000 0.000 [1 per cell]
Rb2 0.500 0.331 0.342 [1 per cell]
Zn1 0.413 0.589 0.827 [1 per cell]
Zn2 0.913 0.744 0.516 [1 per cell]
Cl1 0.018 0.603 0.804 [1 per cell]
Cl2 0.493 0.259 0.970 [1 per cell]
Cl3 0.495 0.772 0.976 [1 per cell]
Cl4 0.518 0.732 0.540 [1 per cell]
Cl5 0.993 0.074 0.371 [1 per cell]
Cl6 0.994 0.559 0.369 [1 per cell]

Total magnetization = 0.00 μB per cell
Density = 2514 kg/m³
Fermi-level density of states = 0.00 states/eV/cell
E_form (uncorrected) = -1.512 eV per atom

Crystalline Li5B8C8 at its relaxed geometry, computed with PBE.

a b c (Å): 5.408 5.411 7.650
angles (deg): 70.32 80.94 60.55
Space group P1 (No. 1)
Inequivalent atoms, fractional coordinates:
Li1 0.000 0.000 0.000 [1 per cell]
Li2 0.001 0.257 0.499 [1 per cell]
Li3 0.499 0.250 0.501 [1 per cell]
Li4 0.503 0.505 0.001 [1 per cell]
Li5 0.504 0.753 0.499 [1 per cell]
B1 0.166 0.798 0.739 [1 per cell]
B2 0.169 0.296 0.755 [1 per cell]
B3 0.329 0.211 0.236 [1 per cell]
B4 0.329 0.703 0.260 [1 per cell]
B5 0.668 0.296 0.748 [1 per cell]
B6 0.672 0.794 0.754 [1 per cell]
B7 0.830 0.708 0.245 [1 per cell]
B8 0.832 0.200 0.260 [1 per cell]
C1 0.162 0.034 0.257 [1 per cell]
C2 0.162 0.541 0.242 [1 per cell]
C3 0.338 0.468 0.742 [1 per cell]
C4 0.338 0.965 0.747 [1 per cell]
C5 0.661 0.042 0.242 [1 per cell]
C6 0.661 0.529 0.268 [1 per cell]
C7 0.838 0.461 0.757 [1 per cell]
C8 0.838 0.969 0.741 [1 per cell]

Formation enthalpy at 0 K = -136 meV per atom
Total magnetization = 0.00 μB per cell
Density = 1966 kg/m³
Fermi-level density of states = 4.99 states/eV/cell

Crystalline Mg2AgSbH at its relaxed geometry, computed with PBE.

a b c (Å): 4.651 4.651 4.123
angles (deg): 90.00 90.00 90.00
Space group P4/mmm (No. 123)
Inequivalent atoms, fractional coordinates:
Mg1 0.000 0.500 0.000 [2 per cell]
Ag1 0.000 0.000 0.500 [1 per cell]
Sb1 0.500 0.500 0.500 [1 per cell]
H1 0.000 0.000 0.000 [1 per cell]

Total magnetization = 0.00 μB per cell
Density = 5199 kg/m³
Fermi-level density of states = 1.69 states/eV/cell

Respective total DFT energy (no corrections) values: -16.55; -83.15; -30.69; -139.65; -13.75 eV/cell.